{"formula": "Pu4ScAs5", "functional": "GGA-PBE", "state": "relaxed", "lattice": [[-4.5652, 4.5652, 2.8966], [4.5652, -4.5652, 2.8966], [4.5652, 4.5652, -2.8966]], "species": ["Pu", "Pu", "Pu", "Pu", "Sc", "As", "As", "As", "As", "As"], "fractional_positions": [[0.0978, 0.7003, 0.7981], [0.2997, 0.0978, 0.3975], [0.7003, 0.9022, 0.6025], [0.9022, 0.2997, 0.2019], [0.5000, 0.5000, 0.0000], [0.0000, 0.0000, 0.0000], [0.2069, 0.4016, 0.6085], [0.4016, 0.7931, 0.1947], [0.5984, 0.2069, 0.8053], [0.7931, 0.5984, 0.3915]], "sg": "No. 87", "volume_a3_per_atom": 24.1, "formation_enthalpy_0k_ev_per_atom": -1.08}